# 1
Np2CuAs4 | PBE | relaxed

Structure (extended XYZ):
```
7
Lattice="-2.768 1.405 -2.456 -1.616 -3.605 -0.241 -5.352 1.922 7.131" Properties=species:S:1:pos:R:3 pbc="T T T"
As -4.868 -0.139 2.217
As -2.676 0.961 3.565
As -5.319 -0.182 5.890
As -2.224 1.005 -0.108
Cu -2.192 -1.100 -1.349
Np -2.140 -1.324 1.654
Np -5.404 2.147 4.129
```

Output
Its crystal system is tetragonal. The electronic total energy is -7.42 eV/atom.

# 2
BePtCl2 | PBE | relaxed

Structure (extended XYZ):
```
8
Lattice="-0.765 4.092 -3.706 3.102 -2.776 -3.706 -2.638 -1.485 -5.286" Properties=species:S:1:pos:R:3 pbc="T T T"
Be 1.168 0.658 -3.706
Be 0.816 -1.801 -6.349
Cl -0.689 1.514 -3.806
Cl -0.855 -0.841 -7.039
Cl -0.180 0.258 -10.155
Cl 1.123 -1.269 -4.395
Pt -1.117 1.632 -6.349
Pt 0.000 0.000 0.000
```

Output
The calculation puts the uncorrected formation energy at 0.00 eV per atom. The offset from the most stable computed form is 0.433 eV/atom. Its crystal system is tetragonal.

# 3
TlIn2O5 | PBE | relaxed

Structure (extended XYZ):
```
16
Lattice="4.192 0.000 0.000 -2.096 5.566 0.000 0.000 0.000 10.831" Properties=species:S:1:pos:R:3 pbc="T T T"
O 2.096 5.066 6.586
O 2.096 3.036 2.708
O 2.096 2.251 6.194
O 2.096 5.066 9.661
O 0.000 3.315 0.778
O 0.000 3.315 4.637
O 2.096 2.251 10.053
O 0.000 0.501 4.245
O 0.000 2.530 8.123
O 0.000 0.501 1.170
In 2.096 3.992 4.699
In 0.000 1.574 6.132
In 0.000 1.574 10.115
In 2.096 3.992 0.716
Tl 0.000 2.023 2.708
Tl 2.096 3.543 8.123
```

Output
The calculation puts the uncorrected formation energy at -1.02 eV per atom. Its crystal system is orthorhombic.

# 4
ErTiIrRh | PBE | relaxed

Structure (extended XYZ):
```
4
Lattice="4.604 0.000 0.000 2.302 3.987 0.000 2.302 1.329 3.759" Properties=species:S:1:pos:R:3 pbc="T T T"
Ir 4.604 2.658 1.879
Rh 0.000 0.000 0.000
Er 6.906 3.987 2.819
Ti 2.302 1.329 0.940
```

Output
Its crystal system is cubic. The electronic total energy is -7.92 eV/atom.

# 5
Pm2SbC | PBE | relaxed

Structure (extended XYZ):
```
4
Lattice="3.788 0.000 0.000 1.894 3.281 0.000 1.894 1.094 7.818" Properties=species:S:1:pos:R:3 pbc="T T T"
C 0.000 0.000 0.000
Pm 5.682 3.281 6.411
Pm 1.894 1.094 1.407
Sb 3.788 2.187 3.909
```

Output
The calculation puts the uncorrected formation energy at -0.51 eV per atom. The offset from the most stable computed form is 0.000 eV/atom. Its crystal system is trigonal.

# 6
Ru2WBr | PBE | relaxed

Structure (extended XYZ):
```
4
Lattice="-0.247 2.354 -1.691 -3.738 1.365 2.446 2.773 2.381 2.909" Properties=species:S:1:pos:R:3 pbc="T T T"
Ru 0.000 0.000 0.000
Ru -0.483 1.873 2.678
W -1.993 1.860 0.378
Br 1.263 2.367 0.609
```

Output
The calculation puts the uncorrected formation energy at 0.94 eV per atom. The offset from the most stable computed form is 0.504 eV/atom. Its crystal system is tetragonal.

Number 1: spin magnetization 6.48 Bohr magnetons per cell. Number 2: spin magnetization 0.00 Bohr magnetons per cell. Number 3: spin magnetization 1.18 Bohr magnetons per cell. Number 4: spin magnetization 0.00 Bohr magnetons per cell. Number 5: spin magnetization 0.00 Bohr magnetons per cell. Number 6: spin magnetization 0.50 Bohr magnetons per cell.